No. 1
CaAgBr4 | PBE | optimized geometry

Lattice parameters (Å, degrees): 4.2899 6.9671 13.9972 103.68 90.00 90.00
Site moments in Bohr magnetons follow the coordinates.
Element x y z (fractional)
Br1 0.5936 0.1055 0.8809  0.14
Br2 0.5005 0.6296 0.3857  0.11
Br3 0.0005 0.3704 0.1143  0.11
Br4 0.4064 0.8945 0.1191  0.14
Br5 0.0936 0.8945 0.6191  0.14
Br6 0.9064 0.1055 0.3809  0.14
Br7 0.9995 0.6296 0.8857  0.11
Br8 0.4995 0.3704 0.6143  0.11
Ca1 0.0000 0.5000 0.5000  0.00
Ca2 0.5000 0.5000 0.0000  0.00
Ag1 0.5000 0.0000 0.5000  0.26
Ag2 0.0000 0.0000 0.0000  0.26

Properties
Excess energy over the best structure of this formula in the dataset: 0.000 eV/atom
Formation energy (no corrections): -1093 meV per atom
Uncorrected energy: -3.017 eV/atom


No. 2
CaAg2Br4 | PBE | optimized geometry

Lattice parameters (Å, degrees): 8.4950 8.4950 11.9546 90.00 90.00 90.00
Element x y z (fractional)
Ag1 0.7518 0.7518 0.8750
Ag2 0.2482 0.7518 0.1250
Ag3 0.5000 0.2656 0.0000
Ag4 0.2656 0.5000 0.7500
Ag5 0.2482 0.2482 0.3750
Ag6 0.5000 0.7344 0.5000
Ag7 0.7518 0.2482 0.6250
Ag8 0.7344 0.5000 0.2500
Br1 0.2459 0.9814 0.5060
Br2 0.7503 0.5048 0.4900
Br3 0.0186 0.7541 0.7440
Br4 0.2459 0.0186 0.9940
Br5 0.0186 0.2459 0.7560
Br6 0.2497 0.4952 0.9900
Br7 0.7503 0.4952 0.0100
Br8 0.7541 0.0186 0.0060
Br9 0.5048 0.7503 0.2600
Br10 0.4952 0.7503 0.7400
Br11 0.9814 0.2459 0.2440
Br12 0.7541 0.9814 0.4940
Br13 0.2497 0.5048 0.5100
Br14 0.9814 0.7541 0.2560
Br15 0.5048 0.2497 0.2400
Br16 0.4952 0.2497 0.7600
Ca1 0.7358 0.0000 0.2500
Ca2 0.0000 0.2642 0.0000
Ca3 0.2642 0.0000 0.7500
Ca4 0.0000 0.7358 0.5000

Properties
Excess energy over the best structure of this formula in the dataset: 0.000 eV/atom
Formation energy (no corrections): -1053 meV per atom
Uncorrected energy: -3.110 eV/atom


No. 3
CaAgBr6 | PBE | optimized geometry

Lattice parameters (Å, degrees): 6.8414 8.1878 6.1198 69.95 65.58 59.09
Element x y z (fractional)
Br1 0.2596 0.8960 0.2717
Br2 0.0266 0.4876 0.7472
Br3 0.7404 0.1040 0.7283
Br4 0.4113 0.7991 0.7345
Br5 0.9734 0.5124 0.2528
Br6 0.5887 0.2009 0.2655
Ag1 0.0000 0.0000 0.0000
Ca1 0.5000 0.5000 0.5000

Properties
Formation energy (no corrections): -681 meV per atom
Uncorrected energy: -2.542 eV/atom


No. 4
Ca2Ag4Br9 | PBE | optimized geometry

Lattice parameters (Å, degrees): 7.1459 7.1390 20.0910 90.12 89.89 59.92
Element x y z (fractional)
Br1 0.3515 0.0096 0.5842
Br2 0.6406 0.3474 0.5842
Br3 0.3594 0.6526 0.4158
Br4 0.3126 0.0008 0.2498
Br5 0.6388 0.0111 0.0840
Br6 0.9989 0.6861 0.2501
Br7 0.0111 0.3488 0.0839
Br8 0.6844 0.3153 0.2501
Br9 0.3493 0.6384 0.0840
Br10 0.6874 0.9992 0.7502
Br11 0.9871 0.3623 0.4164
Br12 0.3612 0.9889 0.9160
Br13 0.0129 0.6377 0.5836
Br14 0.0011 0.3139 0.7499
Br15 0.6507 0.3616 0.9160
Br16 0.9889 0.6512 0.9161
Br17 0.3156 0.6847 0.7499
Br18 0.6485 0.9904 0.4158
Ag1 0.6672 0.6663 0.0076
Ag2 0.3340 0.3344 0.4925
Ag3 0.3328 0.3337 0.9924
Ag4 0.3326 0.3334 0.1755
Ag5 0.6660 0.6656 0.5075
Ag6 0.6656 0.6679 0.3244
Ag7 0.3344 0.3321 0.6756
Ag8 0.6674 0.6666 0.8245
Ca1 0.9991 0.0003 0.1525
Ca2 0.9983 0.0017 0.3475
Ca3 0.0009 0.9997 0.8475
Ca4 0.0017 0.9983 0.6525

Properties
Formation energy (no corrections): -974 meV per atom
Uncorrected energy: -3.005 eV/atom


No. 5
Ca3AgBr8 | PBE | optimized geometry

Lattice parameters (Å, degrees): 5.8122 9.4058 9.2168 107.80 108.38 90.00
Site moments in Bohr magnetons follow the coordinates.
Element x y z (fractional)
Ca1 0.6143 0.7069 0.2287  0.00
Ca2 0.7020 0.3104 0.4041  0.00
Ca3 0.3787 0.2787 0.7574  0.00
Br1 0.1588 0.7377 0.3176  0.08
Br2 0.8604 0.2809 0.7208  0.00
Br3 0.3900 0.9852 0.7799  0.18
Br4 0.6170 0.0032 0.2339  0.03
Br5 0.7723 0.6485 0.5445  0.02
Br6 0.4314 0.6135 0.8627  0.07
Br7 0.5537 0.3802 0.1073  0.02
Br8 0.2204 0.3312 0.4408  0.03
Ag1 0.2994 0.6933 0.5988  0.17

Properties
Formation energy (no corrections): -1497 meV per atom
Uncorrected energy: -3.350 eV/atom


No. 6
CaAg4Br | PBE | optimized geometry

Lattice parameters (Å, degrees): 5.7265 5.7265 5.7265 60.00 60.00 60.00
Element x y z (fractional)
Ag1 0.3751 0.3751 0.3751
Ag2 0.3751 0.8746 0.3751
Ag3 0.8746 0.3751 0.3751
Ag4 0.3751 0.3751 0.8746
Ca1 0.0000 0.0000 0.0000
Br1 0.7500 0.7500 0.7500

Properties
Formation energy (no corrections): -214 meV per atom
Uncorrected energy: -2.727 eV/atom


No. 7
CaAg4Br8 | PBE | optimized geometry

Lattice parameters (Å, degrees): 8.1594 8.1593 8.2308 90.00 119.71 120.00
Site moments in Bohr magnetons follow the coordinates.
Element x y z (fractional)
Br1 0.0027 0.2514 0.7540  0.07
Br2 0.9973 0.7486 0.2460  0.07
Br3 0.5026 0.7513 0.7540  0.07
Br4 0.4694 0.7347 0.2040  0.17
Br5 0.5306 0.2653 0.7960  0.17
Br6 0.9973 0.2487 0.2460  0.07
Br7 0.0027 0.7513 0.7540  0.07
Br8 0.4974 0.2487 0.2460  0.07
Ag1 0.5000 0.0000 0.0000  0.13
Ag2 0.5000 0.5000 0.0000  0.13
Ag3 0.0000 0.0000 0.0000  0.01
Ag4 0.0000 0.5000 0.0000  0.13
Ca1 0.0000 0.5000 0.5000  0.00

Properties
Formation energy (no corrections): -620 meV per atom
Uncorrected energy: -2.681 eV/atom


No. 8
CaAgBr | PBE | optimized geometry

Lattice parameters (Å, degrees): 7.0724 7.0707 3.6151 75.22 75.16 29.62
Element x y z (fractional)
Ag1 0.0278 0.0278 0.9722
Ca1 0.6740 0.6740 0.3260
Br1 0.2982 0.2982 0.7018

Properties
Excess energy over the best structure of this formula in the dataset: 0.041 eV/atom
Formation energy (no corrections): -804 meV per atom
Uncorrected energy: -2.979 eV/atom


No. 9
CaAgBr4 | PBE | optimized geometry

Lattice parameters (Å, degrees): 6.3909 6.3909 6.3909 60.00 60.00 60.00
Site moments in Bohr magnetons follow the coordinates.
Element x y z (fractional)
Br1 0.3744 0.8767 0.3744  0.32
Br2 0.8767 0.3744 0.3744  0.32
Br3 0.3744 0.3744 0.8767  0.32
Br4 0.3744 0.3744 0.3744  0.32
Ca1 0.7500 0.7500 0.7500  0.00
Ag1 0.0000 0.0000 0.0000  0.01

Properties
Excess energy over the best structure of this formula in the dataset: 1.038 eV/atom
Formation energy (no corrections): -55 meV per atom
Uncorrected energy: -1.979 eV/atom


No. 10
Ca2AgBr5 | PBE | optimized geometry

Lattice parameters (Å, degrees): 5.7319 7.5650 14.1804 90.00 90.00 112.26
Element x y z (fractional)
Br1 0.6810 0.3621 0.9384
Br2 0.3190 0.6379 0.4384
Br3 0.2353 0.4706 0.7500
Br4 0.7647 0.5294 0.2500
Br5 0.3190 0.6379 0.0616
Br6 0.9477 0.8953 0.8807
Br7 0.0523 0.1047 0.3807
Br8 0.9477 0.8953 0.6193
Br9 0.6810 0.3621 0.5616
Br10 0.0523 0.1047 0.1193
Ca1 0.1422 0.2845 0.9377
Ca2 0.8578 0.7155 0.4377
Ca3 0.1422 0.2845 0.5623
Ca4 0.8578 0.7155 0.0623
Ag1 0.7957 0.5913 0.7500
Ag2 0.2043 0.4087 0.2500

Properties
Formation energy (no corrections): -1564 meV per atom
Uncorrected energy: -3.467 eV/atom


No. 11
CaAgBr | PBE | optimized geometry

Lattice parameters (Å, degrees): 4.0724 4.0764 13.3936 90.00 90.00 119.97
Element x y z (fractional)
Ag1 0.3296 0.6593 0.0000
Ag2 0.3342 0.6684 0.5000
Br1 0.3341 0.6682 0.2222
Br2 0.3341 0.6682 0.7778
Ca1 0.6673 0.3345 0.3524
Ca2 0.6673 0.3345 0.6476

Properties
Excess energy over the best structure of this formula in the dataset: 0.169 eV/atom
Formation energy (no corrections): -676 meV per atom
Uncorrected energy: -2.851 eV/atom


No. 12
CaCdAg2Br6 | PBE | optimized geometry

Lattice parameters (Å, degrees): 7.2288 7.2298 7.7636 62.22 62.23 59.99
Element x y z (fractional)
Br1 0.0924 0.4268 0.7530
Br2 0.9140 0.6057 0.2610
Br3 0.4267 0.7280 0.7529
Br4 0.7278 0.0927 0.7528
Br5 0.6058 0.2194 0.2608
Br6 0.2196 0.9138 0.2608
Ca1 0.3210 0.3211 0.0368
Ag1 0.0177 0.0178 0.9463
Ag2 0.5153 0.5150 0.4545
Cd1 0.8212 0.8213 0.5365

Properties
Formation energy (no corrections): -963 meV per atom
Uncorrected energy: -2.829 eV/atom